Crystalline InPtBr2 at its relaxed geometry. Source: the Alexandria database, functional PBE-GGA.

Structure (CIF):
```
data_InPtBr2
_chemical_formula_sum 'In1 Pt1 Br2'
_cell_length_a 6.893
_cell_length_b 6.893
_cell_length_c 6.893
_cell_angle_alpha 146.19
_cell_angle_beta 146.19
_cell_angle_gamma 48.57
_symmetry_space_group_name_H-M 'P 1'
_symmetry_Int_Tables_number 1
loop_
_symmetry_equiv_pos_as_xyz
'x,y,z'
loop_
_atom_site_label
_atom_site_fract_x
_atom_site_fract_y
_atom_site_fract_z
Br1 0.000 0.000 0.000
Br2 0.250 0.750 0.500
Pt1 0.750 0.250 0.500
In1 0.500 0.500 0.000
```

Values from the calculation:
D(E_F)   1.97 states/eV/f.u.
M_tot   0.0 μB per formula unit
Energy above the lowest structure with this stoichiometry   517.1 meV/atom
E_form (uncorrected)   201 meV per atom



Crystalline Al2SnPd7 at its relaxed geometry. Source: the Alexandria database, functional PBE-GGA.

Structure (CIF):
```
data_Al2SnPd7
_chemical_formula_sum 'Al2 Sn1 Pd7'
_cell_length_a 4.386
_cell_length_b 7.053
_cell_length_c 7.053
_cell_angle_alpha 116.91
_cell_angle_beta 90.00
_cell_angle_gamma 90.00
_symmetry_space_group_name_H-M 'P 1'
_symmetry_Int_Tables_number 1
loop_
_symmetry_equiv_pos_as_xyz
'x,y,z'
loop_
_atom_site_label
_atom_site_fract_x
_atom_site_fract_y
_atom_site_fract_z
Pd1 0.500 0.069 0.309
Pd2 0.000 0.221 0.779
Pd3 0.500 0.500 0.500
Pd4 0.500 0.691 0.931
Pd5 0.500 0.931 0.691
Pd6 0.000 0.779 0.221
Pd7 0.500 0.309 0.069
Al1 0.500 0.301 0.699
Al2 0.500 0.699 0.301
Sn1 0.000 0.000 0.000
```

Values from the calculation:
DFT formation energy   -208.9 meV/atom
D(E_F)   3.10 states/eV/f.u.
M_tot   0.0 μB per formula unit
Energy above the lowest structure with this stoichiometry   391.1 meV/atom



Crystalline Li2LaBiSe at its relaxed geometry. Source: the Alexandria database, functional PBE-GGA.

Structure (CIF):
```
data_Li2LaBiSe
_chemical_formula_sum 'Li2 La1 Bi1 Se1'
_cell_length_a 4.821
_cell_length_b 4.821
_cell_length_c 5.968
_cell_angle_alpha 90.00
_cell_angle_beta 90.00
_cell_angle_gamma 90.00
_symmetry_space_group_name_H-M 'P 1'
_symmetry_Int_Tables_number 1
loop_
_symmetry_equiv_pos_as_xyz
'x,y,z'
loop_
_atom_site_label
_atom_site_fract_x
_atom_site_fract_y
_atom_site_fract_z
Se1 0.000 0.000 0.000
La1 0.000 0.000 0.500
Li1 0.500 0.000 0.000
Li2 0.000 0.500 0.000
Bi1 0.500 0.500 0.500
```

Values from the calculation:
D(E_F)   0.58 states/eV/f.u.
M_tot   0.0 μB per formula unit
E_form (uncorrected)   -1041 meV per atom



Crystalline ZrAlIrC2 at its relaxed geometry. Source: the Alexandria database, functional PBE-GGA.

Structure (CIF):
```
data_ZrAlIrC2
_chemical_formula_sum 'Zr1 Al1 Ir1 C2'
_cell_length_a 3.958
_cell_length_b 5.493
_cell_length_c 3.958
_cell_angle_alpha 90.00
_cell_angle_beta 90.00
_cell_angle_gamma 90.00
_symmetry_space_group_name_H-M 'P 1'
_symmetry_Int_Tables_number 1
loop_
_symmetry_equiv_pos_as_xyz
'x,y,z'
loop_
_atom_site_label
_atom_site_fract_x
_atom_site_fract_y
_atom_site_fract_z
Al1 0.500 0.500 0.500
C1 0.500 0.000 0.000
C2 0.000 0.000 0.500
Ir1 0.000 0.000 0.000
Zr1 0.000 0.500 0.000
```

Values from the calculation:
DFT formation energy   1192.8 meV/atom
D(E_F)   4.06 states/eV/f.u.
M_tot   0.0 μB per formula unit



Crystalline RbScC at its relaxed geometry. Source: the Alexandria database, functional PBE-GGA.

Structure (CIF):
```
data_RbScC
_chemical_formula_sum 'Rb4 Sc4 C4'
_cell_length_a 7.636
_cell_length_b 3.786
_cell_length_c 12.513
_cell_angle_alpha 90.00
_cell_angle_beta 90.00
_cell_angle_gamma 90.00
_symmetry_space_group_name_H-M 'P 1'
_symmetry_Int_Tables_number 1
loop_
_symmetry_equiv_pos_as_xyz
'x,y,z'
loop_
_atom_site_label
_atom_site_fract_x
_atom_site_fract_y
_atom_site_fract_z
Rb1 0.043 0.250 0.776
Rb2 0.543 0.250 0.724
Rb3 0.457 0.750 0.276
Rb4 0.957 0.750 0.224
C1 0.595 0.250 0.086
C2 0.905 0.750 0.586
C3 0.095 0.250 0.414
C4 0.405 0.750 0.914
Sc1 0.350 0.250 0.993
Sc2 0.650 0.750 0.007
Sc3 0.150 0.750 0.493
Sc4 0.850 0.250 0.507
```

Values from the calculation:
DFT formation energy   488.3 meV/atom
D(E_F)   1.42 states/eV/f.u.
M_tot   0.0 μB per formula unit
Energy above the lowest structure with this stoichiometry   458.2 meV/atom



Crystalline NaRuI2O at its relaxed geometry. Source: the Alexandria database, functional PBE-GGA.

Structure (CIF):
```
data_NaRuI2O
_chemical_formula_sum 'Na1 Ru1 I2 O1'
_cell_length_a 5.700
_cell_length_b 5.700
_cell_length_c 4.076
_cell_angle_alpha 90.00
_cell_angle_beta 90.00
_cell_angle_gamma 90.00
_symmetry_space_group_name_H-M 'P 1'
_symmetry_Int_Tables_number 1
loop_
_symmetry_equiv_pos_as_xyz
'x,y,z'
loop_
_atom_site_label
_atom_site_fract_x
_atom_site_fract_y
_atom_site_fract_z
O1 0.000 0.000 0.500
I1 0.000 0.500 0.000
I2 0.500 0.000 0.000
Na1 0.000 0.000 0.000
Ru1 0.500 0.500 0.500
```

Values from the calculation:
D(E_F)   9.99 states/eV/f.u.
M_tot   3.4 μB per formula unit
Energy above the lowest structure with this stoichiometry   1437.9 meV/atom
E_form (uncorrected)   862 meV per atom